Entry 1:
Density functional theory data (PBE) for KPa2B2N6 after structural relaxation. Values from VASP.

E   -94.04 eV per formula unit
SG   P-1, No. 2

Quantum ESPRESSO input file:
```
&SYSTEM
  ibrav = 0, nat = 11, ntyp = 4
/
ATOMIC_SPECIES
K 39.10 K.upf
Pa 231.04 Pa.upf
B 10.81 B.upf
N 14.01 N.upf
CELL_PARAMETERS angstrom
-4.5644 0.2504 4.1709
0.7732 -2.1597 5.5494
0.0101 6.1430 -0.3452
ATOMIC_POSITIONS crystal
K 0.5000 0.0000 0.5000
Pa 0.8244 0.3513 0.8066
Pa 0.1756 0.6487 0.1934
B 0.1624 0.6768 0.7510
B 0.8376 0.3232 0.2490
N 0.4046 0.5838 0.8282
N 0.9863 0.4178 0.1726
N 0.0750 0.8518 0.6236
N 0.0137 0.5822 0.8274
N 0.9250 0.1482 0.3764
N 0.5954 0.4162 0.1718
```

Entry 2:
Density functional theory data (PBE) for KPmBN2 after structural relaxation. Values from VASP.

E   -33.24 eV per formula unit
SG   P2/c, No. 13

Quantum ESPRESSO input file:
```
&SYSTEM
  ibrav = 0, nat = 10, ntyp = 4
/
ATOMIC_SPECIES
K 39.10 K.upf
Pm 145.00 Pm.upf
B 10.81 B.upf
N 14.01 N.upf
CELL_PARAMETERS angstrom
-0.3415 -4.4201 -3.8844
4.1748 1.5188 -2.0952
3.8124 -4.2602 4.5125
ATOMIC_POSITIONS crystal
K 0.9780 0.5000 0.7500
K 0.0220 0.5000 0.2500
Pm 0.5094 0.0000 0.2500
Pm 0.4906 0.0000 0.7500
B 0.0000 0.0000 0.0000
B 0.0000 0.0000 0.5000
N 0.7725 0.0027 0.9948
N 0.7725 0.9973 0.5052
N 0.2275 0.0027 0.4948
N 0.2275 0.9973 0.0052
```

Entry 3:
Density functional theory data (PBE) for KPuBN3 after structural relaxation. Values from VASP.

E   -51.05 eV per formula unit
SG   P6_3/mmc, No. 194

Quantum ESPRESSO input file:
```
&SYSTEM
  ibrav = 0, nat = 12, ntyp = 4
/
ATOMIC_SPECIES
K 39.10 K.upf
Pu 244.00 Pu.upf
B 10.81 B.upf
N 14.01 N.upf
CELL_PARAMETERS angstrom
-3.0276 -4.2773 1.7521
4.1305 -0.8201 -3.5774
3.9646 -0.8512 4.7727
ATOMIC_POSITIONS crystal
K 0.6667 0.3333 0.2500
K 0.3333 0.6667 0.7500
Pu 0.0000 0.0000 0.5000
Pu 0.0000 0.0000 0.0000
B 0.3333 0.6667 0.2500
B 0.6667 0.3333 0.7500
N 0.8221 0.1779 0.7500
N 0.1779 0.3558 0.2500
N 0.3558 0.1779 0.7500
N 0.6442 0.8221 0.2500
N 0.8221 0.6442 0.7500
N 0.1779 0.8221 0.2500
```